Entry 1:
The following is a DFT calculation (PBE) of K2RuBrO after structural relaxation.

Values from the calculation:
Electronic total energy, eV per atom: -4.37
Formation energy (no corrections), kJ/mol of atoms: -72

Cell lengths 5.894, 5.894, 3.778 Å; angles 90.00, 90.00, 90.00 degrees
Positions (direct):
K: 0.000 0.500 0.000
K: 0.500 0.000 0.000
Ru: 0.000 0.000 0.500
Br: 0.500 0.500 0.500
O: 0.000 0.000 0.000

Entry 2:
The following is a DFT calculation (PBE) of Pr6SnAs2Se3 after structural relaxation.

Values from the calculation:
Electronic total energy, eV per atom: -5.94
Formation energy (no corrections), kJ/mol of atoms: -152

Cell lengths 9.710, 9.710, 8.691 Å; angles 102.87, 102.87, 25.82 degrees
Positions (direct):
Pr: 0.003 0.003 0.257
Pr: 0.330 0.330 0.423
Pr: 0.331 0.331 0.908
Pr: 0.669 0.669 0.092
Pr: 0.670 0.670 0.577
Pr: 0.997 0.997 0.743
Sn: 0.500 0.500 0.000
As: 0.168 0.168 0.335
As: 0.832 0.832 0.665
Se: 0.166 0.166 0.832
Se: 0.500 0.500 0.500
Se: 0.834 0.834 0.168

Entry 3:
The following is a DFT calculation (PBE) of Na2YSnS4 after structural relaxation.

Values from the calculation:
Electronic total energy, eV per atom: -4.97
Formation energy (no corrections), kJ/mol of atoms: -122

Cell lengths 6.930, 3.945, 7.076 Å; angles 90.00, 108.76, 90.00 degrees
Positions (direct):
Na: 0.000 0.000 0.000
Na: 0.500 0.500 0.000
Y: 0.000 0.500 0.500
Sn: 0.500 0.000 0.500
S: 0.244 0.000 0.726
S: 0.257 0.500 0.273
S: 0.743 0.500 0.727
S: 0.756 0.000 0.274

Entry 4:
The following is a DFT calculation (PBE) of Rb3SbPb4 after structural relaxation.

Values from the calculation:
Electronic total energy, eV per atom: -2.92
Formation energy (no corrections), kJ/mol of atoms: -18

Cell lengths 7.192, 13.700, 6.921 Å; angles 90.00, 90.00, 90.00 degrees
Positions (direct):
Rb: 0.250 0.002 0.181
Rb: 0.250 0.250 0.573
Rb: 0.250 0.498 0.181
Rb: 0.750 0.502 0.819
Rb: 0.750 0.750 0.427
Rb: 0.750 0.998 0.819
Sb: 0.250 0.750 0.338
Sb: 0.750 0.250 0.662
Pb: 0.015 0.750 0.933
Pb: 0.250 0.602 0.677
Pb: 0.250 0.898 0.677
Pb: 0.485 0.750 0.933
Pb: 0.515 0.250 0.067
Pb: 0.750 0.102 0.323
Pb: 0.750 0.398 0.323
Pb: 0.985 0.250 0.067

Entry 5:
The following is a DFT calculation (PBE) of SmTmGa after structural relaxation.

Values from the calculation:
Electronic total energy, eV per atom: -4.28
E_form, eV/atom: -0.205
Offset from the most stable computed form, eV per atom: 0.164

Cell lengths 4.763, 4.763, 7.421 Å; angles 90.00, 90.00, 90.00 degrees
Positions (direct):
Sm: 0.250 0.250 0.199
Sm: 0.750 0.750 0.801
Tm: 0.250 0.250 0.721
Tm: 0.750 0.750 0.279
Ga: 0.250 0.750 0.500
Ga: 0.750 0.250 0.500

Entry 6:
The following is a DFT calculation (PBE) of Sm4Dy2Tm5 after structural relaxation.

Values from the calculation:
Electronic total energy, eV per atom: -4.48
E_form, eV/atom: 0.108

Cell lengths 10.044, 10.044, 6.405 Å; angles 92.64, 92.64, 32.92 degrees
Positions (direct):
Sm: 0.029 0.029 0.273
Sm: 0.306 0.306 0.927
Sm: 0.694 0.694 0.073
Sm: 0.971 0.971 0.727
Dy: 0.401 0.401 0.450
Dy: 0.599 0.599 0.550
Tm: 0.131 0.131 0.875
Tm: 0.211 0.211 0.399
Tm: 0.500 0.500 0.000
Tm: 0.789 0.789 0.601
Tm: 0.869 0.869 0.125

Entry 7:
The following is a DFT calculation (PBE) of VCu3Si after structural relaxation.

Values from the calculation:
Electronic total energy, eV per atom: -3.93
Offset from the most stable computed form, eV per atom: 0.806
Formation energy (no corrections), kJ/mol of atoms: 139

Cell lengths 4.547, 4.547, 4.547 Å; angles 90.00, 90.00, 90.00 degrees
Positions (direct):
V: 0.000 0.000 0.000
Cu: 0.000 0.000 0.500
Cu: 0.000 0.500 0.000
Cu: 0.500 0.000 0.000
Si: 0.500 0.500 0.500

Entry 8:
The following is a DFT calculation (PBE) of CeCoTcP2 after structural relaxation.

Values from the calculation:
Electronic total energy, eV per atom: -7.79
E_form, eV/atom: -0.945

Cell lengths 5.888, 5.888, 5.888 Å; angles 140.98, 140.98, 56.37 degrees
Positions (direct):
Ce: 0.000 0.000 0.000
Co: 0.250 0.750 0.500
Tc: 0.750 0.250 0.500
P: 0.365 0.365 0.000
P: 0.635 0.635 0.000

Entry 9:
The following is a DFT calculation (PBE) of PaSbRhO6 after structural relaxation.

Values from the calculation:
Electronic total energy, eV per atom: -7.39
Formation energy (no corrections), kJ/mol of atoms: -169

Cell lengths 5.561, 5.561, 8.873 Å; angles 90.00, 90.00, 120.00 degrees
Positions (direct):
Pa: 0.333 0.667 0.250
Pa: 0.667 0.333 0.750
Sb: 0.333 0.667 0.750
Sb: 0.667 0.333 0.250
Rh: 0.000 0.000 0.000
Rh: 0.000 0.000 0.500
O: 0.022 0.351 0.629
O: 0.022 0.671 0.871
O: 0.329 0.351 0.871
O: 0.329 0.978 0.629
O: 0.351 0.022 0.129
O: 0.351 0.329 0.371
O: 0.649 0.671 0.629
O: 0.649 0.978 0.871
O: 0.671 0.022 0.371
O: 0.671 0.649 0.129
O: 0.978 0.329 0.129
O: 0.978 0.649 0.371

Entry 10:
The following is a DFT calculation (PBE) of Cr2Tc after structural relaxation.

Values from the calculation:
Electronic total energy, eV per atom: -9.83
E_form, eV/atom: 0.037
Offset from the most stable computed form, eV per atom: 0.013

Cell lengths 6.368, 6.368, 4.188 Å; angles 90.00, 90.00, 153.41 degrees
Positions (direct):
Cr: 0.092 0.908 0.750
Cr: 0.255 0.745 0.250
Cr: 0.745 0.255 0.750
Cr: 0.908 0.092 0.250
Tc: 0.418 0.582 0.750
Tc: 0.582 0.418 0.250

Entry 11:
The following is a DFT calculation (PBE) of Ti2NbBi4 after structural relaxation.

Values from the calculation:
Electronic total energy, eV per atom: -5.86
E_form, eV/atom: 0.053

Cell lengths 7.627, 7.627, 7.371 Å; angles 118.56, 118.56, 29.20 degrees
Positions (direct):
Ti: 0.239 0.239 0.270
Ti: 0.761 0.761 0.730
Nb: 0.000 0.000 0.000
Bi: 0.110 0.110 0.457
Bi: 0.373 0.373 0.072
Bi: 0.627 0.627 0.928
Bi: 0.890 0.890 0.543

Q: Which formula does entry 5 have?
A: SmTmGa

Q: Which formula does entry 4 have?
A: Rb3SbPb4

Q: What is the electronic total energy in the fifth record?
A: -4.28 eV per atom

Q: Look up the electronic total energy of the tenth one.
A: -9.83 eV per atom